Here is a PBEsol-optimized structure of NbCr2W from Alexandria. Energies are from meta-GGA SCAN.

Lattice parameters (Å, degrees): 4.285 4.285 4.285 60.00 60.00 60.00
Fractional coordinates of all 4 atoms:
Cr 0.250 0.250 0.250
Nb 0.000 0.000 0.000
Cr 0.750 0.750 0.750
W 0.500 0.500 0.500

Properties
The value obtained for the formation energy is 0.02 eV per atom. The space group is No. 225. The calculation puts the electronic total energy at -34.8810 eV/atom.

Here is a PBEsol-optimized structure of CaYBe2 from Alexandria. Energies are from meta-GGA SCAN.

Lattice parameters (Å, degrees): 4.010 4.999 5.512 72.68 68.67 66.35
Fractional coordinates of all 4 atoms:
Be 0.263 0.902 0.571
Be 0.737 0.098 0.429
Ca 0.500 0.000 0.000
Y 0.000 0.500 0.500

Properties
The value obtained for the formation energy is 0.27 eV per atom. The space group is No. 12. The calculation puts the electronic total energy at -11.2864 eV/atom.

Here is a PBEsol-optimized structure of BaZr2TcAs from Alexandria. Energies are from meta-GGA SCAN.

Lattice parameters (Å, degrees): 4.909 4.909 5.669 90.00 90.00 90.00
Fractional coordinates of all 5 atoms:
Ba 0.000 0.000 0.500
As 0.500 0.500 0.500
Tc 0.000 0.000 0.000
Zr 0.500 0.000 0.000
Zr 0.000 0.500 0.000

Properties
The value obtained for the formation energy is 0.41 eV per atom. The space group is No. 123. The calculation puts the electronic total energy at -30.8341 eV/atom.

Here is a PBEsol-optimized structure of MgSc2Hg2 from Alexandria. Energies are from meta-GGA SCAN.

Lattice parameters (Å, degrees): 3.656 7.701 7.701 90.00 90.00 90.00
Fractional coordinates of all 10 atoms:
Sc 0.500 0.164 0.664
Sc 0.500 0.664 0.836
Hg 0.000 0.364 0.864
Sc 0.500 0.336 0.164
Hg 0.000 0.864 0.636
Hg 0.000 0.636 0.136
Mg 0.000 0.000 0.000
Hg 0.000 0.136 0.364
Sc 0.500 0.836 0.336
Mg 0.000 0.500 0.500

Properties
The value obtained for the formation energy is -0.59 eV per atom. The space group is No. 127. The calculation puts the electronic total energy at -34.5417 eV/atom.

Here is a PBEsol-optimized structure of Li2InCl from Alexandria. Energies are from meta-GGA SCAN.

Lattice parameters (Å, degrees): 3.123 3.123 7.612 90.00 90.00 90.00
Fractional coordinates of all 4 atoms:
Li 0.000 0.000 0.802
In 0.500 0.500 0.500
Li 0.000 0.000 0.198
Cl 0.500 0.500 0.000

Properties
The uncorrected formation energy is -952 meV per atom. The space group is No. 123. The calculation puts the electronic total energy at -12.4885 eV/atom.

Here is a PBEsol-optimized structure of HgSb3S from Alexandria. Energies are from meta-GGA SCAN.

Lattice parameters (Å, degrees): 5.419 5.419 5.419 90.00 90.00 90.00
Fractional coordinates of all 5 atoms:
Sb 0.000 0.000 0.500
Hg 0.000 0.000 0.000
Sb 0.000 0.500 0.000
Sb 0.500 0.000 0.000
S 0.500 0.500 0.500

Properties
The uncorrected formation energy is 1123 meV per atom. The space group is No. 221. The calculation puts the electronic total energy at -36.7922 eV/atom.

Here is a PBEsol-optimized structure of SrCd2Pt2 from Alexandria. Energies are from meta-GGA SCAN.

Lattice parameters (Å, degrees): 4.262 4.262 6.767 108.35 108.35 90.00
Fractional coordinates of all 5 atoms:
Cd 0.250 0.750 0.500
Pt 0.395 0.395 0.790
Cd 0.750 0.250 0.500
Sr 0.000 0.000 0.000
Pt 0.605 0.605 0.210

Properties
The value obtained for the formation energy is -0.67 eV per atom. The space group is No. 139. The calculation puts the electronic total energy at -45.3674 eV/atom.

Here is a PBEsol-optimized structure of Ca2Cd2Sb from Alexandria. Energies are from meta-GGA SCAN.

Lattice parameters (Å, degrees): 3.967 3.967 9.492 102.06 102.06 90.00
Fractional coordinates of all 5 atoms:
Cd 0.250 0.750 0.500
Sb 0.000 0.000 0.000
Ca 0.595 0.595 0.189
Ca 0.405 0.405 0.811
Cd 0.750 0.250 0.500

Properties
The uncorrected formation energy is -451 meV per atom. The space group is No. 139. The calculation puts the electronic total energy at -23.9343 eV/atom.

Here is a PBEsol-optimized structure of AlWAu2 from Alexandria. Energies are from meta-GGA SCAN.

Lattice parameters (Å, degrees): 2.786 2.786 8.182 90.00 90.00 90.00
Fractional coordinates of all 4 atoms:
W 0.000 0.000 0.509
Au 0.000 0.000 0.981
Al 0.500 0.500 0.747
Au 0.500 0.500 0.262

Properties
The value obtained for the formation energy is -0.04 eV per atom. The space group is No. 99. The calculation puts the electronic total energy at -53.9808 eV/atom.

Here is a PBEsol-optimized structure of ZnP3Os from Alexandria. Energies are from meta-GGA SCAN.

Lattice parameters (Å, degrees): 4.580 4.580 4.580 90.00 90.00 90.00
Fractional coordinates of all 5 atoms:
Os 0.000 0.000 0.000
P 0.000 0.000 0.500
Zn 0.500 0.500 0.500
P 0.000 0.500 0.000
P 0.500 0.000 0.000

Properties
The value obtained for the formation energy is 0.88 eV per atom. The space group is No. 221. The calculation puts the electronic total energy at -22.4368 eV/atom.

Here is a PBEsol-optimized structure of In2SnSbBr from Alexandria. Energies are from meta-GGA SCAN.

Lattice parameters (Å, degrees): 5.508 5.599 5.599 90.00 90.00 90.00
Fractional coordinates of all 5 atoms:
Sb 0.500 0.500 0.500
Sn 0.500 0.000 0.000
In 0.000 0.000 0.500
Br 0.000 0.000 0.000
In 0.000 0.500 0.000

Properties
The uncorrected formation energy is 496 meV per atom. The space group is No. 123. The calculation puts the electronic total energy at -31.3866 eV/atom.

Here is a PBEsol-optimized structure of AlBiPd3 from Alexandria. Energies are from meta-GGA SCAN.

Lattice parameters (Å, degrees): 4.966 4.966 4.966 90.00 90.00 90.00
Fractional coordinates of all 5 atoms:
Bi 0.000 0.000 0.000
Pd 0.500 0.000 0.000
Pd 0.000 0.000 0.500
Pd 0.000 0.500 0.000
Al 0.500 0.500 0.500

Properties
The value obtained for the formation energy is 0.78 eV per atom. The space group is No. 221. The calculation puts the electronic total energy at -36.1539 eV/atom.